No. 1
V5Hg3I12 | Alexandria | GGA-PBE | optimized geometry; space group = No. 230; spin magnetization = 13.00 μB per formula unit; total energy = -69.0 eV per formula unit; V = 37.5 Å³/atom; DOS at the Fermi energy = 62.5 states/eV per cell
1.0
-9.0880 9.0880 9.0880
9.0880 -9.0880 9.0880
9.0880 9.0880 -9.0880
V Hg I
20 12 48
Direct
0.0000 0.0000 0.0000
0.0000 0.0000 0.5000
0.0000 0.5000 0.0000
0.0000 0.5000 0.5000
0.1250 0.7500 0.8750
0.1250 0.8750 0.2500
0.2500 0.1250 0.8750
0.2500 0.6250 0.3750
0.3750 0.2500 0.6250
0.3750 0.6250 0.7500
0.5000 0.0000 0.0000
0.5000 0.0000 0.5000
0.5000 0.5000 0.0000
0.5000 0.5000 0.5000
0.6250 0.3750 0.2500
0.6250 0.7500 0.3750
0.7500 0.3750 0.6250
0.7500 0.8750 0.1250
0.8750 0.1250 0.7500
0.8750 0.2500 0.1250
0.1250 0.2500 0.3750
0.1250 0.3750 0.7500
0.2500 0.3750 0.1250
0.2500 0.8750 0.6250
0.3750 0.1250 0.2500
0.3750 0.7500 0.1250
0.6250 0.2500 0.8750
0.6250 0.8750 0.7500
0.7500 0.1250 0.3750
0.7500 0.6250 0.8750
0.8750 0.6250 0.2500
0.8750 0.7500 0.6250
0.0133 0.1942 0.1091
0.0133 0.3191 0.9042
0.0851 0.6942 0.6809
0.0851 0.8909 0.4042
0.0958 0.6091 0.4149
0.0958 0.9867 0.6809
0.1091 0.0133 0.1942
0.1091 0.5958 0.9149
0.1809 0.1942 0.5851
0.1809 0.4867 0.5958
0.1942 0.1091 0.0133
0.1942 0.5851 0.1809
0.3058 0.3191 0.9149
0.3058 0.4867 0.3909
0.3191 0.9042 0.0133
0.3191 0.9149 0.3058
0.3909 0.3058 0.4867
0.3909 0.5851 0.9042
0.4042 0.0851 0.8909
0.4042 0.8191 0.5133
0.4149 0.0958 0.6091
0.4149 0.8191 0.8058
0.4867 0.3909 0.3058
0.4867 0.5958 0.1809
0.5133 0.4042 0.8191
0.5133 0.6091 0.6942
0.5851 0.1809 0.1942
0.5851 0.9042 0.3909
0.5958 0.1809 0.4867
0.5958 0.9149 0.1091
0.6091 0.4149 0.0958
0.6091 0.6942 0.5133
0.6809 0.0851 0.6942
0.6809 0.0958 0.9867
0.6942 0.5133 0.6091
0.6942 0.6809 0.0851
0.8058 0.4149 0.8191
0.8058 0.8909 0.9867
0.8191 0.5133 0.4042
0.8191 0.8058 0.4149
0.8909 0.4042 0.0851
0.8909 0.9867 0.8058
0.9042 0.0133 0.3191
0.9042 0.3909 0.5851
0.9149 0.1091 0.5958
0.9149 0.3058 0.3191
0.9867 0.6809 0.0958
0.9867 0.8058 0.8909

No. 2
Pm3MgAg | Alexandria | GGA-PBE | optimized geometry; space group = No. 63; spin magnetization = 0.08 μB per formula unit; total energy = -19.2 eV per formula unit; V = 28.9 Å³/atom; DOS at the Fermi energy = 9.7 states/eV per cell
1.0
2.6562 -10.2388 0.0000
2.6562 10.2388 0.0000
0.0000 0.0000 5.3142
Pm Mg Ag
6 2 2
Direct
0.0592 0.9408 0.7500
0.2493 0.7507 0.7500
0.4365 0.5635 0.7500
0.5635 0.4365 0.2500
0.7507 0.2493 0.2500
0.9408 0.0592 0.2500
0.1540 0.8460 0.2500
0.8460 0.1540 0.7500
0.3397 0.6603 0.2500
0.6603 0.3397 0.7500

No. 3
Na2ReSn | Alexandria | GGA-PBE | optimized geometry; space group = No. 122; spin magnetization = 1.74 μB per formula unit; total energy = -14.9 eV per formula unit; V = 24.1 Å³/atom; DOS at the Fermi energy = 5.9 states/eV per cell
1.0
-4.2308 4.2308 2.6889
4.2308 -4.2308 2.6889
4.2308 4.2308 -2.6889
Na Re Sn
4 2 2
Direct
0.1150 0.6250 0.9900
0.3750 0.3650 0.4900
0.6350 0.1250 0.0100
0.8750 0.8850 0.5100
0.0000 0.0000 0.0000
0.7500 0.2500 0.5000
0.2500 0.7500 0.5000
0.5000 0.5000 0.0000

No. 4
Pu2RhI | Alexandria | GGA-PBE | optimized geometry; space group = No. 166; spin magnetization = 10.85 μB per formula unit; total energy = -39.7 eV per formula unit; V = 28.4 Å³/atom; DOS at the Fermi energy = 16.3 states/eV per cell
1.0
2.0225 1.1677 8.0274
-2.0225 1.1677 8.0274
0.0000 -2.3354 8.0274
Pu Rh I
2 1 1
Direct
0.2303 0.2303 0.2303
0.7697 0.7697 0.7697
0.5000 0.5000 0.5000
0.0000 0.0000 0.0000

No. 5
NdCdGa | Alexandria | GGA-PBE | optimized geometry; space group = No. 216; spin magnetization = 0.00 μB per formula unit; total energy = -10.0 eV per formula unit; V = 26.4 Å³/atom; DOS at the Fermi energy = 0.5 states/eV per cell
1.0
0.0000 3.4078 3.4078
3.4078 0.0000 3.4078
3.4078 3.4078 0.0000
Nd Cd Ga
1 1 1
Direct
0.0000 0.0000 0.0000
0.5000 0.5000 0.5000
0.7500 0.7500 0.7500

No. 6
BeCo3Hg | Alexandria | GGA-PBE | optimized geometry; space group = No. 221; spin magnetization = 3.19 μB per formula unit; total energy = -22.8 eV per formula unit; V = 12.8 Å³/atom; DOS at the Fermi energy = 7.1 states/eV per cell
1.0
4.0000 0.0000 0.0000
0.0000 4.0000 0.0000
0.0000 0.0000 4.0000
Be Co Hg
1 3 1
Direct
0.0000 0.0000 0.0000
0.0000 0.0000 0.5000
0.0000 0.5000 0.0000
0.5000 0.0000 0.0000
0.5000 0.5000 0.5000

No. 7
Nd6Tm5Sc | Alexandria | GGA-PBE | optimized geometry; space group = No. 71; spin magnetization = 0.00 μB per formula unit; total energy = -57.0 eV per formula unit; V = 32.0 Å³/atom; DOS at the Fermi energy = 16.4 states/eV per cell
1.0
-2.5485 4.9326 7.6412
2.5485 -4.9326 7.6412
2.5485 4.9326 -7.6412
Nd Tm Sc
6 5 1
Direct
0.0821 0.3342 0.7479
0.2458 0.0000 0.2458
0.4136 0.6658 0.7479
0.5864 0.3342 0.2521
0.7542 0.0000 0.7542
0.9179 0.6658 0.2521
0.1662 0.1662 0.0000
0.3344 0.8344 0.5000
0.5000 0.5000 0.0000
0.6656 0.1656 0.5000
0.8338 0.8338 0.0000
0.0000 0.5000 0.5000

No. 8
PaCo4Ir | Alexandria | GGA-PBE | optimized geometry; space group = No. 216; spin magnetization = 5.43 μB per formula unit; total energy = -48.0 eV per formula unit; V = 13.8 Å³/atom; DOS at the Fermi energy = 8.8 states/eV per cell
1.0
0.0000 3.4609 3.4609
3.4609 0.0000 3.4609
3.4609 3.4609 0.0000
Pa Co Ir
1 4 1
Direct
0.0000 0.0000 0.0000
0.3768 0.3768 0.3768
0.3768 0.3768 0.8696
0.3768 0.8696 0.3768
0.8696 0.3768 0.3768
0.7500 0.7500 0.7500

No. 9
MgTa2Ag | Alexandria | GGA-PBE | optimized geometry; space group = No. 139; spin magnetization = 0.00 μB per formula unit; total energy = -27.0 eV per formula unit; V = 18.1 Å³/atom; DOS at the Fermi energy = 3.1 states/eV per cell
1.0
-1.9470 1.9470 4.7782
1.9470 -1.9470 4.7782
1.9470 1.9470 -4.7782
Mg Ta Ag
1 2 1
Direct
0.0000 0.0000 0.0000
0.2500 0.7500 0.5000
0.7500 0.2500 0.5000
0.5000 0.5000 0.0000

No. 10
MgVAg | Alexandria | GGA-PBE | optimized geometry; space group = No. 129; spin magnetization = 0.00 μB per formula unit; total energy = -11.8 eV per formula unit; V = 18.2 Å³/atom; DOS at the Fermi energy = 5.7 states/eV per cell
1.0
3.6171 0.0000 0.0000
0.0000 3.6171 0.0000
0.0000 0.0000 8.3472
Mg V Ag
2 2 2
Direct
0.2500 0.7500 0.0000
0.7500 0.2500 0.0000
0.2500 0.2500 0.4328
0.7500 0.7500 0.5672
0.2500 0.2500 0.7471
0.7500 0.7500 0.2529

No. 11
LaZnAs2 | Alexandria | GGA-PBE | optimized geometry; space group = No. 44; spin magnetization = 0.00 μB per formula unit; total energy = -17.7 eV per formula unit; V = 22.5 Å³/atom; DOS at the Fermi energy = 2.6 states/eV per cell
1.0
-2.0603 2.1554 5.0681
2.0603 -2.1554 5.0681
2.0603 2.1554 -5.0681
La Zn As
1 1 2
Direct
0.0000 0.0000 0.0000
0.2597 0.7597 0.5000
0.4931 0.4931 0.0000
0.7416 0.2416 0.5000

No. 12
Ho4TmMg3 | Alexandria | GGA-PBE | optimized geometry; space group = No. 47; spin magnetization = 0.00 μB per formula unit; total energy = -27.6 eV per formula unit; V = 27.9 Å³/atom; DOS at the Fermi energy = 11.4 states/eV per cell
1.0
3.8014 0.0000 0.0000
0.0000 5.3924 0.0000
0.0000 0.0000 10.9021
Ho Tm Mg
4 1 3
Direct
0.0000 0.0000 0.0000
0.0000 0.0000 0.5000
0.0000 0.5000 0.2404
0.0000 0.5000 0.7596
0.5000 0.5000 0.5000
0.5000 0.0000 0.2492
0.5000 0.0000 0.7508
0.5000 0.5000 0.0000